{"formula": "ScSb3", "functional": "PBE-GGA", "state": "optimized geometry", "cell": [[10.741, 0.020, 0.012], [10.212, 3.331, 0.012], [10.212, 1.633, 2.903]], "species": ["Sb", "Sb", "Sb", "Sc"], "frac_coords": [[0.742, 0.742, 0.742], [0.500, 0.500, 0.500], [0.258, 0.258, 0.258], [0.000, 0.000, 0.000]], "crystal_system": "trigonal", "de_polymorph_kj_per_mol_atoms": 22.96, "m_tot_mub_per_atom": 0.000}

***

{"formula": "TlCuAg2Se4", "functional": "PBE-GGA", "state": "optimized geometry", "cell": [[-4.566, 4.315, -0.758], [-0.605, -2.551, 5.759], [5.680, 2.731, -0.575]], "species": ["Ag", "Ag", "Se", "Se", "Se", "Se", "Cu", "Tl"], "frac_coords": [[0.750, 0.250, 0.500], [0.250, 0.750, 0.500], [0.395, 0.045, 0.000], [0.045, 0.395, 0.000], [0.605, 0.605, 0.649], [0.955, 0.955, 0.351], [0.000, 0.000, 0.000], [0.500, 0.500, 0.000]], "crystal_system": "tetragonal", "m_tot_mub_per_atom": 0.000, "final_energy_ev_per_atom": -3.317}